(1)
This record from Alexandria describes a relaxed structure of SrCdBi3. The functional is PBE.

The structure in POSCAR format:
```
SrCdBi3
1.0
5.7335 0.0000 0.0000
0.0000 5.7335 0.0000
0.0000 0.0000 5.7335
Sr Cd Bi
1 1 3
Cartesian
0.0000 0.0000 0.0000
2.8668 2.8668 2.8668
0.0000 2.8668 2.8668
2.8668 0.0000 2.8668
2.8668 2.8668 0.0000
```

Output
total DFT energy (no corrections): -2.779 eV per atom
offset from the most stable computed form: 0.360 eV per atom
symmetry: Pm-3m (221)
volume: 188 Å³ per cell
total magnetic moment: 0.00 μB/atom


(2)
This record from Alexandria describes a relaxed structure of Sr5Cd2Bi. The functional is PBE.

The structure in POSCAR format:
```
Sr5Cd2Bi
1.0
-4.3969 4.3969 8.0749
4.3969 -4.3969 8.0749
4.3969 4.3969 -8.0749
Sr Cd Bi
10 4 2
Cartesian
0.0000 0.0000 0.0000
5.8852 1.4883 -2.3687
1.4883 2.9087 -2.3687
5.8852 1.4883 2.3687
1.4883 2.9087 2.3687
0.0000 0.0000 8.0749
2.9087 1.4883 5.7063
-1.4883 2.9087 5.7063
2.9087 1.4883 10.4436
-1.4883 2.9087 10.4436
3.3313 1.0656 0.0000
3.3313 -1.0656 8.0749
1.0656 5.4626 0.0000
1.0656 3.3313 8.0749
0.0000 0.0000 4.0375
0.0000 0.0000 12.1124
```

Output
total DFT energy (no corrections): -2.195 eV per atom
symmetry: I4/mcm (140)
volume: 624 Å³ per cell
total magnetic moment: 0.12 μB/atom


What did the second record say?
This record from Alexandria describes a relaxed structure of Sr5Cd2Bi. The functional is PBE.

The structure in POSCAR format:
```
Sr5Cd2Bi
1.0
-4.3969 4.3969 8.0749
4.3969 -4.3969 8.0749
4.3969 4.3969 -8.0749
Sr Cd Bi
10 4 2
Cartesian
0.0000 0.0000 0.0000
5.8852 1.4883 -2.3687
1.4883 2.9087 -2.3687
5.8852 1.4883 2.3687
1.4883 2.9087 2.3687
0.0000 0.0000 8.0749
2.9087 1.4883 5.7063
-1.4883 2.9087 5.7063
2.9087 1.4883 10.4436
-1.4883 2.9087 10.4436
3.3313 1.0656 0.0000
3.3313 -1.0656 8.0749
1.0656 5.4626 0.0000
1.0656 3.3313 8.0749
0.0000 0.0000 4.0375
0.0000 0.0000 12.1124
```

Output
total DFT energy (no corrections): -2.195 eV per atom
symmetry: I4/mcm (140)
volume: 624 Å³ per cell
total magnetic moment: 0.12 μB/atom


- The highest total magnetic moment belongs to which entry?
  Sr5Cd2Bi


Repeat the first record exactly.
This record from Alexandria describes a relaxed structure of SrCdBi3. The functional is PBE.

The structure in POSCAR format:
```
SrCdBi3
1.0
5.7335 0.0000 0.0000
0.0000 5.7335 0.0000
0.0000 0.0000 5.7335
Sr Cd Bi
1 1 3
Cartesian
0.0000 0.0000 0.0000
2.8668 2.8668 2.8668
0.0000 2.8668 2.8668
2.8668 0.0000 2.8668
2.8668 2.8668 0.0000
```

Output
total DFT energy (no corrections): -2.779 eV per atom
offset from the most stable computed form: 0.360 eV per atom
symmetry: Pm-3m (221)
volume: 188 Å³ per cell
total magnetic moment: 0.00 μB/atom


- The highest total magnetic moment belongs to which entry?
  Sr5Cd2Bi